# FeW2O7

FeW2O7 after structural relaxation (GGA+U, Alexandria).

Calculated values
Crystal system: trigonal
VASP energy (eV/atom): -7.014
N(E_F) (states/eV/f.u.): 1.86

```
data_FeW2O7
_symmetry_space_group_name_H-M 'R -3 m'
_symmetry_Int_Tables_number 166
_symmetry_space_group_name_Hall '-R 3 2"'
_cell_length_a 3.5959
_cell_length_b 3.5959
_cell_length_c 28.2276
_cell_angle_alpha 90.00
_cell_angle_beta 90.00
_cell_angle_gamma 120.00
loop_
_atom_site_label
_atom_site_type_symbol
_atom_site_fract_x
_atom_site_fract_y
_atom_site_fract_z
Fe1 Fe 0.0000 0.0000 0.0000
W1 W 0.0000 0.0000 0.4315
O1 O 0.0000 0.0000 0.0792
O2 O 0.0000 0.0000 0.2247
O3 O 0.0000 0.0000 0.3597
O4 O 0.0000 0.0000 0.5000
```